# 1
# TiW2Cl PBE optimized geometry
# Energy relative to the lowest polymorph listed for this composition = 0.390 eV/atom
# Total energy = -7.7721 eV/atom
# Total magnetization = 0.000 μB/atom
data_TiW2Cl
_cell_length_a 6.346
_cell_length_b 6.346
_cell_length_c 6.346
_cell_angle_alpha 90.00
_cell_angle_beta 90.00
_cell_angle_gamma 90.00
_symmetry_space_group_name_H-M 'F m -3 m'
_symmetry_Int_Tables_number 225
_symmetry_space_group_name_Hall '-F 4 2 3'
loop_
_atom_site_label
_atom_site_fract_x
_atom_site_fract_y
_atom_site_fract_z
Ti1 0.000 0.000 0.000
W1 0.250 0.250 0.250
Cl1 0.000 0.000 0.500

---

# 2
# V2CCl PBE optimized geometry
# Total energy = -7.2206 eV/atom
# Total magnetization = 0.779 μB/atom
data_V2CCl
_cell_length_a 5.115
_cell_length_b 5.115
_cell_length_c 9.333
_cell_angle_alpha 90.00
_cell_angle_beta 90.00
_cell_angle_gamma 90.00
_symmetry_space_group_name_H-M 'I -4 2 d'
_symmetry_Int_Tables_number 122
_symmetry_space_group_name_Hall 'I -4 2bw'
loop_
_atom_site_label
_atom_site_fract_x
_atom_site_fract_y
_atom_site_fract_z
V1 0.181 0.250 0.125
C1 0.000 0.000 0.000
Cl1 0.000 0.000 0.500

---

# 3
# ReBiTeN2 PBE optimized geometry
# Energy relative to the lowest polymorph listed for this composition = 0.000 eV/atom
# Total energy = -6.4159 eV/atom
# Total magnetization = 0.000 μB/atom
data_ReBiTeN2
_cell_length_a 4.079
_cell_length_b 4.079
_cell_length_c 5.590
_cell_angle_alpha 90.00
_cell_angle_beta 90.00
_cell_angle_gamma 90.00
_symmetry_space_group_name_H-M 'P 4/m m m'
_symmetry_Int_Tables_number 123
_symmetry_space_group_name_Hall '-P 4 2'
loop_
_atom_site_label
_atom_site_fract_x
_atom_site_fract_y
_atom_site_fract_z
Re1 0.000 0.000 0.000
Bi1 0.500 0.500 0.500
Te1 0.000 0.000 0.500
N1 0.000 0.500 0.000

---

# 4
# Th4Sn8Pd PBE optimized geometry
# Total energy = -5.7007 eV/atom
# Energy relative to the elements = -0.55 eV per atom
# Total magnetization = 0.000 μB/atom
data_Th4Sn8Pd
_cell_length_a 4.455
_cell_length_b 4.511
_cell_length_c 17.671
_cell_angle_alpha 90.00
_cell_angle_beta 90.00
_cell_angle_gamma 90.00
_symmetry_space_group_name_H-M 'P m m 2'
_symmetry_Int_Tables_number 25
loop_
_symmetry_equiv_pos_as_xyz
'x,y,z'
'-x,-y,z'
'-x,y,z'
'x,-y,z'
loop_
_atom_site_label
_atom_site_fract_x
_atom_site_fract_y
_atom_site_fract_z
Th1 0.000 0.000 0.000
Th2 0.000 0.500 0.484
Th3 0.500 0.000 0.787
Th4 0.500 0.500 0.285
Sn1 0.000 0.000 0.324
Sn2 0.000 0.000 0.624
Sn3 0.000 0.500 0.143
Sn4 0.000 0.500 0.854
Sn5 0.500 0.000 0.143
Sn6 0.500 0.000 0.442
Sn7 0.500 0.500 0.623
Sn8 0.500 0.500 0.962
Pd1 0.000 0.500 0.708

---

# 5
# RbMgS PBE optimized geometry
# Total energy = -2.9021 eV/atom
# Total magnetization = 0.260 μB/atom
data_RbMgS
_cell_length_a 3.931
_cell_length_b 7.637
_cell_length_c 6.961
_cell_angle_alpha 90.00
_cell_angle_beta 106.33
_cell_angle_gamma 90.00
_symmetry_space_group_name_H-M 'P 1 21/m 1'
_symmetry_Int_Tables_number 11
loop_
_symmetry_equiv_pos_as_xyz
'x,y,z'
'-x,-y,-z'
'-x,y+1/2,-z'
'x,-y+1/2,z'
loop_
_atom_site_label
_atom_site_fract_x
_atom_site_fract_y
_atom_site_fract_z
Rb1 0.000 0.000 0.000
Mg1 0.262 0.250 0.525
S1 0.344 0.750 0.687

---

# 6
# Li2SnBi5 PBE optimized geometry
# Total energy = -3.5253 eV/atom
# Energy relative to the elements = -0.12 eV per atom
# Total magnetization = 0.000 μB/atom
data_Li2SnBi5
_cell_length_a 9.677
_cell_length_b 9.707
_cell_length_c 6.819
_cell_angle_alpha 90.00
_cell_angle_beta 134.44
_cell_angle_gamma 90.00
_symmetry_space_group_name_H-M 'C 1 m 1'
_symmetry_Int_Tables_number 8
loop_
_symmetry_equiv_pos_as_xyz
'x,y,z'
'x,-y,z'
'x+1/2,y+1/2,z'
'x+1/2,-y+1/2,z'
loop_
_atom_site_label
_atom_site_fract_x
_atom_site_fract_y
_atom_site_fract_z
Li1 0.000 0.250 0.000
Sn1 0.250 0.000 0.500
Bi1 0.000 0.250 0.500
Bi2 0.249 0.500 0.000
Bi3 0.249 0.500 0.500
Bi4 0.250 0.000 0.000